# 1
! GGA-PBE RbNpF4, optimized geometry; values from VASP
! Energy relative to the elements, uncorrected   -3.239 eV/atom
! Space group   Pnma (62)
! Excess energy over the best structure of this formula in the dataset   0 meV per atom
&SYSTEM
  ibrav = 0, nat = 24, ntyp = 3
/
ATOMIC_SPECIES
Rb 85.47 Rb.upf
Np 237.00 Np.upf
F 19.00 F.upf
ATOMIC_POSITIONS angstrom
Rb 1.467 0.957 3.208
Rb 1.798 2.870 11.324
Rb 4.733 0.957 4.908
Rb 5.063 2.870 13.025
Np 1.619 2.870 7.162
Np 1.646 0.957 15.278
Np 4.885 2.870 0.954
Np 4.912 0.957 9.071
F 0.044 2.870 15.345
F 0.654 0.957 13.186
F 0.707 0.957 6.011
F 0.859 0.957 8.761
F 2.406 2.870 0.645
F 2.558 2.870 14.127
F 2.612 2.870 5.070
F 3.221 0.957 7.229
F 3.309 2.870 9.004
F 3.919 0.957 11.163
F 3.973 0.957 2.105
F 4.125 0.957 15.588
F 5.671 2.870 7.471
F 5.823 2.870 10.222
F 5.877 2.870 3.046
F 6.487 0.957 0.887
CELL_PARAMETERS angstrom
6.531 0.000 0.000
0.000 3.827 0.000
0.000 0.000 16.233



# 2
! GGA-PBE RbNpTlF6, optimized geometry; values from VASP
! Energy relative to the elements, uncorrected   -2.994 eV/atom
! Space group   P-31c (163)
&SYSTEM
  ibrav = 0, nat = 18, ntyp = 4
/
ATOMIC_SPECIES
Rb 85.47 Rb.upf
Np 237.00 Np.upf
Tl 204.38 Tl.upf
F 19.00 F.upf
ATOMIC_POSITIONS angstrom
Rb 0.000 4.022 2.386
Rb 3.483 2.011 7.157
Np 0.000 4.022 7.157
Np 3.483 2.011 2.386
Tl 0.000 0.000 0.000
Tl 0.000 0.000 4.771
F -0.889 2.418 5.988
F -1.833 4.054 8.326
F 0.889 2.418 8.326
F -0.944 5.593 5.988
F 2.538 0.439 1.216
F 1.649 1.979 3.555
F 1.833 4.054 5.988
F 0.944 5.593 8.326
F 4.427 0.439 3.555
F 2.594 3.615 1.216
F 5.316 1.979 1.216
F 4.372 3.615 3.555
CELL_PARAMETERS angstrom
6.966 0.000 0.000
-3.483 6.033 0.000
0.000 0.000 9.542



# 3
! GGA-PBE Rb2NpTlF8, optimized geometry; values from VASP
! Energy relative to the elements, uncorrected   -2.932 eV/atom
! Space group   I-4m2 (119)
&SYSTEM
  ibrav = 0, nat = 12, ntyp = 4
/
ATOMIC_SPECIES
Rb 85.47 Rb.upf
Np 237.00 Np.upf
Tl 204.38 Tl.upf
F 19.00 F.upf
ATOMIC_POSITIONS angstrom
Rb 0.000 0.000 0.000
Rb 0.000 3.119 3.056
Np 3.119 0.000 3.056
Tl 0.000 0.000 6.112
F 1.279 1.845 -1.778
F 1.840 -1.274 4.334
F 1.845 1.279 1.778
F 4.394 1.279 1.778
F 1.279 4.394 -1.778
F 1.840 1.274 4.334
F -1.274 1.840 7.891
F 1.274 1.840 7.891
CELL_PARAMETERS angstrom
-3.119 3.119 6.112
3.119 -3.119 6.112
3.119 3.119 -6.112



# 4
! GGA-PBE RbNpTl2F6, optimized geometry; values from VASP
! Energy relative to the elements, uncorrected   -2.639 eV/atom
! Space group   C2/m (12)
&SYSTEM
  ibrav = 0, nat = 10, ntyp = 4
/
ATOMIC_SPECIES
Rb 85.47 Rb.upf
Np 237.00 Np.upf
Tl 204.38 Tl.upf
F 19.00 F.upf
ATOMIC_POSITIONS angstrom
Rb 0.000 0.000 0.000
Np 3.832 0.000 2.864
Tl 0.018 0.000 4.143
Tl 7.647 0.000 1.585
F 2.378 1.588 3.636
F 2.689 0.000 0.915
F 5.287 1.588 2.092
F 2.378 -1.588 3.636
F 4.976 0.000 4.813
F 5.287 -1.588 2.092
CELL_PARAMETERS angstrom
5.835 -3.407 0.000
5.835 3.407 0.000
-4.005 0.000 5.729



Please write out number 3 again, unchanged.
! GGA-PBE Rb2NpTlF8, optimized geometry; values from VASP
! Energy relative to the elements, uncorrected   -2.932 eV/atom
! Space group   I-4m2 (119)
&SYSTEM
  ibrav = 0, nat = 12, ntyp = 4
/
ATOMIC_SPECIES
Rb 85.47 Rb.upf
Np 237.00 Np.upf
Tl 204.38 Tl.upf
F 19.00 F.upf
ATOMIC_POSITIONS angstrom
Rb 0.000 0.000 0.000
Rb 0.000 3.119 3.056
Np 3.119 0.000 3.056
Tl 0.000 0.000 6.112
F 1.279 1.845 -1.778
F 1.840 -1.274 4.334
F 1.845 1.279 1.778
F 4.394 1.279 1.778
F 1.279 4.394 -1.778
F 1.840 1.274 4.334
F -1.274 1.840 7.891
F 1.274 1.840 7.891
CELL_PARAMETERS angstrom
-3.119 3.119 6.112
3.119 -3.119 6.112
3.119 3.119 -6.112